First-principles (PBE-GGA) data for YGaSi3 after structural relaxation, as listed in Alexandria.

Computed properties:
ρ: 2665 kg/m3
volume: 30.271 A^3/atom
E above lowest polymorph: 572 meV per atom
energy relative to the elements, uncorrected: 1.04 eV per atom

Lattice parameters (Å, degrees): 5.329 5.329 5.329 90.00 90.00 90.00
Space group Pm-3m (No. 221)
Inequivalent atoms, fractional coordinates:
Y 0.000 0.000 0.000 x1
Ga 0.500 0.500 0.500 x1
Si 0.000 0.000 0.500 x3

=====

First-principles (PBE-GGA) data for Na2LaCdW after structural relaxation, as listed in Alexandria.

Computed properties:
ρ: 4447 kg/m3
volume: 35.930 A^3/atom
DFT formation energy: 1.0698 eV/atom

Lattice parameters (Å, degrees): 5.829 5.829 5.287 90.00 90.00 90.00
Space group P4/mmm (No. 123)
Inequivalent atoms, fractional coordinates:
Na 0.000 0.500 0.000 x2
La 0.000 0.000 0.500 x1
Cd 0.500 0.500 0.500 x1
W 0.000 0.000 0.000 x1